## NbVRh (GGA-PBE)

Data for a geometry-optimized NbVRh structure.

Calculated values
energy of formation	-0.30	eV/f.u.
DOS(E_F)	1.554	states/eV per atom
mass density	8.92	g/cm³
V	46	Å³/f.u.
calculated total energy	-8.948	eV per atom

a b c (Å): 4.3955 4.3955 2.7442
angles (deg): 90.00 90.00 120.00
Space group P3m1 (No. 156)
Symmetry-distinct sites (fractional):
Nb 0.0000 0.0000 0.0000 [1 per cell]
V 0.6667 0.3333 0.3131 [1 per cell]
Rh 0.3333 0.6667 0.6337 [1 per cell]